Record 1
The following is a PBE-GGA calculation of crystalline Pm8SiTe4As3 at its relaxed geometry, from Alexandria via LeMat-Bulk.

Lattice parameters (Å, degrees): 8.816 8.816 8.816 58.63 58.63 58.63
Element x y z (fractional)
Pm  0.240  0.240  0.240
Pm  0.244  0.738  0.738
Pm  0.262  0.262  0.756
Pm  0.262  0.756  0.262
Pm  0.738  0.244  0.738
Pm  0.738  0.738  0.244
Pm  0.756  0.262  0.262
Pm  0.760  0.760  0.760
Si  0.500  0.500  0.500
Te  0.000  0.000  0.000
Te  0.000  0.500  0.500
Te  0.500  0.000  0.500
Te  0.500  0.500  0.000
As  0.000  0.000  0.500
As  0.000  0.500  0.000
As  0.500  0.000  0.000

Calculated values
The raw formation energy is -1453.5 meV/atom. As for the electronic total energy: -93.200 eV per cell.

=====

Record 2
The following is a PBE-GGA calculation of crystalline PmNdTmSn at its relaxed geometry, from Alexandria via LeMat-Bulk.

Lattice parameters (Å, degrees): 7.773 7.773 7.773 90.00 90.00 90.00
Element x y z (fractional)
Pm  0.000  0.000  0.000
Pm  0.000  0.500  0.500
Pm  0.500  0.000  0.500
Pm  0.500  0.500  0.000
Nd  0.000  0.000  0.500
Nd  0.000  0.500  0.000
Nd  0.500  0.000  0.000
Nd  0.500  0.500  0.500
Tm  0.250  0.250  0.250
Tm  0.250  0.750  0.750
Tm  0.750  0.250  0.750
Tm  0.750  0.750  0.250
Sn  0.250  0.250  0.750
Sn  0.250  0.750  0.250
Sn  0.750  0.250  0.250
Sn  0.750  0.750  0.750

Calculated values
As for the energy of formation: -0.26 eV/atom. As for the electronic total energy: -76.166 eV per cell.

=====

Record 3
The following is a PBE-GGA calculation of crystalline HfTl2H at its relaxed geometry, from Alexandria via LeMat-Bulk.

Lattice parameters (Å, degrees): 7.004 7.004 7.004 90.00 90.00 90.00
Element x y z (fractional)
Hf  0.000  0.000  0.000
Hf  0.000  0.500  0.500
Hf  0.500  0.000  0.500
Hf  0.500  0.500  0.000
Tl  0.250  0.250  0.250
Tl  0.250  0.250  0.750
Tl  0.250  0.750  0.250
Tl  0.250  0.750  0.750
Tl  0.750  0.250  0.250
Tl  0.750  0.250  0.750
Tl  0.750  0.750  0.250
Tl  0.750  0.750  0.750
H  0.000  0.000  0.500
H  0.000  0.500  0.000
H  0.500  0.000  0.000
H  0.500  0.500  0.500

Calculated values
For the energy above the lowest structure with this stoichiometry, the calculation gives 292 meV/atom. As for the electronic total energy: -59.118 eV per cell.

=====

Record 4
The following is a PBE-GGA calculation of crystalline LiMg3Np3N8 at its relaxed geometry, from Alexandria via LeMat-Bulk.

Lattice parameters (Å, degrees): 6.335 6.335 6.335 63.04 63.04 63.04
Element x y z (fractional)
Li  0.000  0.000  0.000
Mg  0.000  0.000  0.500
Mg  0.000  0.500  0.000
Mg  0.500  0.000  0.000
Np  0.000  0.500  0.500
Np  0.500  0.000  0.500
Np  0.500  0.500  0.000
N  0.244  0.244  0.724
N  0.244  0.724  0.244
N  0.246  0.246  0.246
N  0.276  0.756  0.756
N  0.724  0.244  0.244
N  0.754  0.754  0.754
N  0.756  0.276  0.756
N  0.756  0.756  0.276

Calculated values
The raw formation energy is -726.2 meV/atom. As for the electronic total energy: -123.016 eV per cell.

=====

Record 5
The following is a PBE-GGA calculation of crystalline BaCa2Ge4 at its relaxed geometry, from Alexandria via LeMat-Bulk.

Lattice parameters (Å, degrees): 4.183 4.748 18.820 90.00 90.00 90.00
Element x y z (fractional)
Ba  0.000  0.000  0.000
Ba  0.500  0.500  0.500
Ca  0.000  0.500  0.317
Ca  0.000  0.500  0.683
Ca  0.500  0.000  0.183
Ca  0.500  0.000  0.817
Ge  0.000  0.000  0.426
Ge  0.000  0.000  0.574
Ge  0.000  0.500  0.155
Ge  0.000  0.500  0.845
Ge  0.500  0.000  0.345
Ge  0.500  0.000  0.655
Ge  0.500  0.500  0.074
Ge  0.500  0.500  0.926

Calculated values
As for the energy of formation: -0.58 eV/atom. As for the electronic total energy: -56.923 eV per cell.

=====

Record 6
The following is a PBE-GGA calculation of crystalline CaTlInSn at its relaxed geometry, from Alexandria via LeMat-Bulk.

Lattice parameters (Å, degrees): 4.604 4.823 4.928 90.00 90.00 90.00
Element x y z (fractional)
Ca  0.000  0.000  0.000
Tl  0.500  0.500  0.000
In  0.000  0.500  0.500
Sn  0.500  0.000  0.500

Calculated values
For the energy above the lowest structure with this stoichiometry, the calculation gives 0 meV/atom. As for the energy of formation: -0.32 eV/atom. As for the electronic total energy: -12.391 eV per cell.

=====

Record 7
The following is a PBE-GGA calculation of crystalline La3TmTl3 at its relaxed geometry, from Alexandria via LeMat-Bulk.

Lattice parameters (Å, degrees): 6.986 6.986 9.792 91.49 91.49 104.48
Element x y z (fractional)
La  0.178  0.822  0.000
La  0.246  0.754  0.500
La  0.402  0.402  0.181
La  0.598  0.598  0.819
La  0.754  0.246  0.500
La  0.822  0.178  0.000
Tm  0.275  0.275  0.546
Tm  0.725  0.725  0.454
Tl  0.032  0.032  0.276
Tl  0.063  0.472  0.765
Tl  0.472  0.063  0.765
Tl  0.528  0.937  0.235
Tl  0.937  0.528  0.235
Tl  0.968  0.968  0.724

Calculated values
For the energy above the lowest structure with this stoichiometry, the calculation gives 52 meV/atom. As for the energy of formation: -0.24 eV/atom. As for the electronic total energy: -56.045 eV per cell.

=====

Record 8
The following is a PBE-GGA calculation of crystalline ScAlCo2H at its relaxed geometry, from Alexandria via LeMat-Bulk.

Lattice parameters (Å, degrees): 3.902 3.902 3.723 90.00 90.00 90.00
Element x y z (fractional)
Sc  0.000  0.000  0.000
Al  0.500  0.500  0.000
Co  0.000  0.500  0.500
Co  0.500  0.000  0.500
H  0.000  0.000  0.500

Calculated values
As for the electronic total energy: -29.048 eV per cell.

=====

The records above yield mass density values of 6.804; 8.160; 11.374; 7.813; 4.514; 7.253; 8.611; 5.590 g/cm3, respectively.
The records above yield volume values of 29.3; 29.4; 21.5; 12.8; 26.7; 27.4; 33.0; 11.3 Å³ per atom, respectively.